Entry 1:
# Mg2Cr

A relaxed structure of Mg2Cr (GGA-PBE, Alexandria via LeMat-Bulk).

POSCAR file:
```
Mg2Cr
1.0
5.360 4.292 0.461
-6.139 -1.615 2.659
1.934 -2.718 2.815
Mg Cr
4 2
Direct
0.422 0.578 0.250
0.578 0.422 0.750
0.752 0.248 0.250
0.248 0.752 0.750
0.086 0.914 0.250
0.914 0.086 0.750
```

Calculated values
ΔE_f ... 1.1 eV per formula unit
D(E_F) ... 1.36 states/eV/f.u.

***

Entry 2:
# MgCr3

A relaxed structure of MgCr3 (GGA-PBE, Alexandria via LeMat-Bulk).

POSCAR file:
```
MgCr3
1.0
-3.597 3.237 2.142
-1.863 -4.942 0.341
1.783 -0.422 3.632
Mg Cr
2 6
Direct
0.626 0.374 0.750
0.374 0.626 0.250
0.138 0.862 0.750
0.862 0.138 0.250
0.697 0.899 0.750
0.303 0.101 0.250
0.899 0.697 0.250
0.101 0.303 0.750
```

Calculated values
ΔE_f ... 1.8 eV per formula unit
D(E_F) ... 3.52 states/eV/f.u.

***

Entry 3:
# Mg3MnCr

A relaxed structure of Mg3MnCr (GGA-PBE, Alexandria via LeMat-Bulk).

POSCAR file:
```
Mg3MnCr
1.0
-4.658 1.867 0.040
-1.813 -4.495 -1.298
-0.448 -1.219 4.847
Cr Mg Mn
1 3 1
Direct
0.500 0.500 0.500
0.000 0.500 0.000
0.000 0.000 0.500
0.500 0.000 0.000
0.000 0.000 0.000
```

Calculated values
Polymorph energy (0 for the lowest one) ... 0.00 eV/f.u.
ΔE_f ... 4.9 eV per formula unit
D(E_F) ... 6.82 states/eV/f.u.